No. 1
Density functional theory data (PBE) for a relaxed LaY2TaN4 crystal. Values from VASP.

The structure in Quantum ESPRESSO input format:
```
&SYSTEM
  ibrav = 0, nat = 16, ntyp = 4
/
ATOMIC_SPECIES
La 138.91 La.upf
Y 88.91 Y.upf
Ta 180.95 Ta.upf
N 14.01 N.upf
CELL_PARAMETERS angstrom
3.443 0.000 0.000
-1.722 6.065 0.000
0.000 0.000 12.171
ATOMIC_POSITIONS angstrom
La 0.000 1.132 9.128
La 1.722 4.933 3.043
Y 0.000 4.501 6.513
Y 1.722 1.564 0.427
Y 1.722 1.564 5.659
Y 0.000 4.501 11.744
Ta 1.722 4.046 9.128
Ta 0.000 2.019 3.043
N 0.000 3.153 1.466
N 1.722 2.912 7.552
N 1.722 2.912 10.705
N 0.000 3.153 4.619
N 0.000 0.000 6.086
N 0.000 0.000 0.000
N 0.000 5.252 9.128
N 1.722 0.813 3.043
```

Values from the calculation:
As for the total magnetic moment: 0.00 μB/f.u. For the uncorrected formation energy, the calculation gives -126.9 kJ/mol of atoms. As for the space group: No. 63.

---

No. 2
Density functional theory data (PBE) for a relaxed La2TaZnN crystal. Values from VASP.

The structure in Quantum ESPRESSO input format:
```
&SYSTEM
  ibrav = 0, nat = 5, ntyp = 4
/
ATOMIC_SPECIES
N 14.01 N.upf
Zn 65.41 Zn.upf
La 138.91 La.upf
Ta 180.95 Ta.upf
CELL_PARAMETERS angstrom
-4.467 0.298 -2.808
-0.109 -5.269 -0.387
-2.178 -0.208 3.444
ATOMIC_POSITIONS angstrom
N 0.000 0.000 0.000
Zn -3.377 -2.590 0.125
La -0.054 -2.635 -0.193
La -2.234 0.149 -1.404
Ta -1.089 -0.104 1.722
```

Values from the calculation:
As for the total magnetic moment: 0.01 μB/f.u. For the uncorrected formation energy, the calculation gives -50.5 kJ/mol of atoms. As for the space group: No. 123.

---

No. 3
Density functional theory data (PBE) for a relaxed La3Zr2TaN6 crystal. Values from VASP.

The structure in Quantum ESPRESSO input format:
```
&SYSTEM
  ibrav = 0, nat = 12, ntyp = 4
/
ATOMIC_SPECIES
La 138.91 La.upf
Zr 91.22 Zr.upf
Ta 180.95 Ta.upf
N 14.01 N.upf
CELL_PARAMETERS angstrom
5.807 -0.004 0.002
-2.905 5.028 0.002
-0.966 -1.673 5.886
ATOMIC_POSITIONS angstrom
La -1.930 3.349 2.945
La 3.865 0.002 2.945
La 0.968 1.676 2.945
Zr -0.002 3.351 0.002
Zr 2.903 1.673 0.002
Ta 0.000 0.000 0.000
N 2.867 1.739 4.706
N 1.973 3.416 1.198
N -0.931 1.612 1.183
N 0.074 3.352 4.706
N -0.037 -0.065 4.691
N 1.862 -0.001 1.183
```

Values from the calculation:
As for the total magnetic moment: 0.00 μB/f.u. For the uncorrected formation energy, the calculation gives -138.5 kJ/mol of atoms. As for the space group: No. 12.

---

No. 4
Density functional theory data (PBE) for a relaxed La4Tb2N crystal. Values from VASP.

The structure in Quantum ESPRESSO input format:
```
&SYSTEM
  ibrav = 0, nat = 7, ntyp = 3
/
ATOMIC_SPECIES
N 14.01 N.upf
Tb 158.93 Tb.upf
La 138.91 La.upf
CELL_PARAMETERS angstrom
5.125 0.000 0.000
0.000 5.125 0.000
2.562 2.562 8.797
ATOMIC_POSITIONS angstrom
N 0.000 0.000 0.000
Tb 5.125 5.125 5.961
Tb 2.562 2.562 2.835
La 5.125 5.125 2.417
La 2.562 2.562 6.380
La 0.000 2.562 0.000
La 2.562 0.000 0.000
```

Values from the calculation:
As for the total magnetic moment: 0.00 μB/f.u. For the uncorrected formation energy, the calculation gives -19.0 kJ/mol of atoms. As for the space group: No. 139.

---

No. 5
Density functional theory data (PBE) for a relaxed La4TbN4 crystal. Values from VASP.

The structure in Quantum ESPRESSO input format:
```
&SYSTEM
  ibrav = 0, nat = 9, ntyp = 3
/
ATOMIC_SPECIES
La 138.91 La.upf
Tb 158.93 Tb.upf
N 14.01 N.upf
CELL_PARAMETERS angstrom
3.570 0.000 0.844
1.515 6.029 1.566
-0.076 -0.037 8.295
ATOMIC_POSITIONS angstrom
La 3.114 2.406 2.771
La 4.427 4.979 5.190
La 1.894 3.587 7.933
La 0.581 1.014 5.514
Tb 1.785 0.000 0.422
N 1.218 0.507 2.820
N 3.791 5.486 7.884
N 3.581 1.693 8.770
N 1.427 4.300 1.934
```

Values from the calculation:
As for the total magnetic moment: 0.89 μB/f.u. For the uncorrected formation energy, the calculation gives -121.0 kJ/mol of atoms. As for the space group: No. 12.

---

No. 6
Density functional theory data (PBE) for a relaxed LaTbN crystal. Values from VASP.

The structure in Quantum ESPRESSO input format:
```
&SYSTEM
  ibrav = 0, nat = 3, ntyp = 3
/
ATOMIC_SPECIES
N 14.01 N.upf
Tb 158.93 Tb.upf
La 138.91 La.upf
CELL_PARAMETERS angstrom
-1.089 -4.011 -1.410
-1.183 -3.093 2.881
-4.176 -1.336 0.195
ATOMIC_POSITIONS angstrom
N -1.612 -2.110 0.417
Tb 0.000 0.000 0.000
La -3.224 -4.220 0.833
```

Values from the calculation:
As for the total magnetic moment: 0.00 μB/f.u. For the uncorrected formation energy, the calculation gives -33.3 kJ/mol of atoms. As for the space group: No. 216.

---

No. 7
Density functional theory data (PBE) for a relaxed LaTb3N4 crystal. Values from VASP.

The structure in Quantum ESPRESSO input format:
```
&SYSTEM
  ibrav = 0, nat = 16, ntyp = 3
/
ATOMIC_SPECIES
N 14.01 N.upf
Tb 158.93 Tb.upf
La 138.91 La.upf
CELL_PARAMETERS angstrom
-0.694 5.315 3.051
0.413 -4.653 4.037
7.089 0.808 0.206
ATOMIC_POSITIONS angstrom
N 4.517 -0.635 1.170
N 5.883 2.124 2.742
N 2.424 1.824 2.644
N 0.385 4.195 4.118
N 6.423 -2.725 3.176
N 4.384 -0.354 4.649
N 0.925 -0.655 4.551
N 2.291 2.104 6.123
Tb 2.155 4.291 2.366
Tb 4.240 1.832 0.891
Tb 4.113 2.164 4.435
Tb 0.625 1.767 4.334
Tb 2.695 -0.694 2.858
Tb 6.183 -0.297 2.960
La 5.670 4.691 2.468
La 0.725 1.431 0.789
```

Values from the calculation:
As for the total magnetic moment: 0.00 μB/f.u. For the uncorrected formation energy, the calculation gives -149.2 kJ/mol of atoms. As for the space group: No. 13.

---

No. 8
Density functional theory data (PBE) for a relaxed LaTbN crystal. Values from VASP.

The structure in Quantum ESPRESSO input format:
```
&SYSTEM
  ibrav = 0, nat = 3, ntyp = 3
/
ATOMIC_SPECIES
N 14.01 N.upf
Tb 158.93 Tb.upf
La 138.91 La.upf
CELL_PARAMETERS angstrom
6.488 0.000 0.000
0.000 3.578 0.000
0.000 -1.789 3.098
ATOMIC_POSITIONS angstrom
N 0.129 0.000 0.000
Tb 1.320 0.000 2.066
La 5.039 1.789 1.033
```

Values from the calculation:
As for the total magnetic moment: 0.32 μB/f.u. For the uncorrected formation energy, the calculation gives -90.4 kJ/mol of atoms. As for the space group: No. 156.

---

No. 9
Density functional theory data (PBE) for a relaxed La2Tb4N crystal. Values from VASP.

The structure in Quantum ESPRESSO input format:
```
&SYSTEM
  ibrav = 0, nat = 7, ntyp = 3
/
ATOMIC_SPECIES
N 14.01 N.upf
Tb 158.93 Tb.upf
La 138.91 La.upf
CELL_PARAMETERS angstrom
4.857 0.000 0.000
0.000 4.857 0.000
2.428 2.428 9.046
ATOMIC_POSITIONS angstrom
N 0.000 0.000 0.000
Tb 2.428 2.428 6.711
Tb 4.857 4.857 2.335
Tb 0.000 2.428 0.000
Tb 2.428 0.000 0.000
La 2.428 2.428 3.158
La 4.857 4.857 5.888
```

Values from the calculation:
As for the total magnetic moment: 0.00 μB/f.u. For the uncorrected formation energy, the calculation gives -27.9 kJ/mol of atoms. As for the space group: No. 139.

---

No. 10
Density functional theory data (PBE) for a relaxed La4TbN4 crystal. Values from VASP.

The structure in Quantum ESPRESSO input format:
```
&SYSTEM
  ibrav = 0, nat = 9, ntyp = 3
/
ATOMIC_SPECIES
La 138.91 La.upf
Tb 158.93 Tb.upf
N 14.01 N.upf
CELL_PARAMETERS angstrom
6.069 0.000 0.000
0.000 6.069 0.000
-3.035 -3.035 5.546
ATOMIC_POSITIONS angstrom
La 3.035 0.000 0.000
La 0.000 3.035 0.000
La 0.000 0.000 3.213
La 3.035 3.035 2.333
Tb 0.000 0.000 0.000
N 1.652 1.652 4.246
N 1.383 4.686 1.301
N -1.652 -1.652 4.246
N 4.686 1.383 1.301
```

Values from the calculation:
As for the total magnetic moment: 2.45 μB/f.u. For the uncorrected formation energy, the calculation gives -77.8 kJ/mol of atoms. As for the space group: No. 121.

---

No. 11
Density functional theory data (PBE) for a relaxed LaTb2N3 crystal. Values from VASP.

The structure in Quantum ESPRESSO input format:
```
&SYSTEM
  ibrav = 0, nat = 12, ntyp = 3
/
ATOMIC_SPECIES
La 138.91 La.upf
Tb 158.93 Tb.upf
N 14.01 N.upf
CELL_PARAMETERS angstrom
6.123 -0.022 -1.023
-3.301 5.157 -1.023
-0.009 -0.017 6.212
ATOMIC_POSITIONS angstrom
La -3.298 5.155 -1.023
La 2.978 1.707 -1.023
Tb 4.548 0.833 2.083
Tb -0.169 3.414 5.189
Tb -1.710 4.271 2.083
Tb 1.381 2.573 2.083
N 0.503 4.637 3.094
N -0.832 2.207 1.073
N 3.732 2.961 3.068
N 0.658 1.307 4.090
N 2.314 0.380 1.099
N 2.061 3.862 0.076
```

Values from the calculation:
As for the total magnetic moment: 0.00 μB/f.u. For the uncorrected formation energy, the calculation gives -146.2 kJ/mol of atoms. As for the space group: No. 12.

---

No. 12
Density functional theory data (PBE) for a relaxed LaTbN crystal. Values from VASP.

The structure in Quantum ESPRESSO input format:
```
&SYSTEM
  ibrav = 0, nat = 3, ntyp = 3
/
ATOMIC_SPECIES
Tb 158.93 Tb.upf
N 14.01 N.upf
La 138.91 La.upf
CELL_PARAMETERS angstrom
-0.695 1.246 3.096
1.559 -4.861 0.431
4.986 0.615 -1.002
ATOMIC_POSITIONS angstrom
Tb -0.347 0.625 1.558
N 1.233 -0.630 0.541
La 2.366 -0.767 2.727
```

Values from the calculation:
As for the total magnetic moment: 0.85 μB/f.u. For the uncorrected formation energy, the calculation gives -48.4 kJ/mol of atoms. As for the space group: No. 44.